# 1
A geometry-optimized SiMoCl2 structure. Source: Alexandria, functional GGA-PBE.

Results
**SG**: I4/mmm
**Total moment**: 2.581 μB per cell
**Final energy**: -0.154 Ha/atom
**Raw formation energy**: 0.787 eV/atom
**Offset from the most stable computed form**: 1125 meV/atom

Lattice parameters (Å, degrees): 5.1145 5.1145 5.1145 131.21 131.21 71.48
Sites, in units of the cell vectors:
Si: 0.0000 0.0000 0.0000
Mo: 0.5000 0.5000 0.0000
Cl: 0.2500 0.7500 0.5000
Cl: 0.7500 0.2500 0.5000



# 2
A geometry-optimized ReIrOs2O structure. Source: Alexandria, functional GGA-PBE.

Results
**SG**: P4/mmm
**Total moment**: 0.000 μB per cell
**Final energy**: -0.333 Ha/atom
**Raw formation energy**: 0.678 eV/atom

Lattice parameters (Å, degrees): 4.0899 4.0899 4.0155 90.00 90.00 90.00
Sites, in units of the cell vectors:
Re: 0.0000 0.0000 0.0000
Ir: 0.5000 0.5000 0.0000
Os: 0.0000 0.5000 0.5000
Os: 0.5000 0.0000 0.5000
O: 0.0000 0.0000 0.5000